[1]
DFT (GGA-PBEsol) results for an optimized crystal structure of Hf.

Cell and atoms, written as POSCAR:
```
Hf
1.0
3.117 0.000 0.000
1.559 2.700 0.000
1.559 0.900 2.545
Hf
1
Direct
0.000 0.000 0.000
```

Calculated values
energy of formation: 0.069 eV/atom
offset from the most stable computed form: 0.069 eV per formula unit
space group: Fm-3m, No. 225
energy: -10.434 eV per atom



[2]
DFT (GGA-PBEsol) results for an optimized crystal structure of Hf3Hg.

Cell and atoms, written as POSCAR:
```
Hf3Hg
1.0
4.246 0.000 0.000
0.000 4.246 0.000
-2.123 -2.123 4.529
Hf Hg
3 1
Direct
0.500 0.500 0.000
0.250 0.750 0.500
0.750 0.250 0.500
0.000 0.000 0.000
```

Calculated values
energy of formation: -0.113 eV/atom
space group: I4/mmm, No. 139
energy: -8.132 eV per atom



[3]
DFT (GGA-PBEsol) results for an optimized crystal structure of HfHgIN2.

Cell and atoms, written as POSCAR:
```
HfHgIN2
1.0
4.139 0.000 0.000
0.000 4.139 0.000
0.000 0.000 5.493
N Hf I Hg
2 1 1 1
Direct
0.500 0.000 0.000
0.000 0.500 0.000
0.000 0.000 0.500
0.000 0.000 0.000
0.500 0.500 0.500
```

Calculated values
formation energy (no corrections): 8.34 eV per formula unit
space group: P4/mmm, No. 123
energy: -4.309 eV per atom



[4]
DFT (GGA-PBEsol) results for an optimized crystal structure of RbHf2HgIr.

Cell and atoms, written as POSCAR:
```
RbHf2HgIr
1.0
-0.394 -0.730 4.752
-4.685 -1.010 -0.543
1.141 -4.937 -0.663
Hf Ir Rb Hg
2 1 1 1
Direct
0.000 0.500 0.000
0.500 0.000 0.000
0.500 0.500 0.500
0.000 0.000 0.000
0.000 0.000 0.500
```

Calculated values
energy of formation: 2.652 eV/atom
space group: P4/mmm, No. 123
energy: -3.833 eV per atom



[5]
DFT (GGA-PBEsol) results for an optimized crystal structure of HfHgIrRh2.

Cell and atoms, written as POSCAR:
```
HfHgIrRh2
1.0
-4.570 0.173 -1.074
0.175 -4.460 -1.466
-1.136 -1.552 4.587
Rh Hg Hf Ir
2 1 1 1
Direct
0.000 0.500 0.000
0.500 0.000 0.000
0.000 0.000 0.000
0.000 0.000 0.500
0.500 0.500 0.500
```

Calculated values
energy of formation: 1.935 eV/atom
space group: P4/mmm, No. 123
energy: -5.499 eV per atom



[6]
DFT (GGA-PBEsol) results for an optimized crystal structure of LiHfHgPt2.

Cell and atoms, written as POSCAR:
```
LiHfHgPt2
1.0
4.055 0.000 0.000
0.000 4.977 0.000
0.000 0.000 4.977
Pt Hg Li Hf
2 1 1 1
Direct
0.000 0.000 0.500
0.000 0.500 0.000
0.000 0.000 0.000
0.500 0.000 0.000
0.500 0.500 0.500
```

Calculated values
energy of formation: 0.542 eV/atom
space group: P4/mmm, No. 123
energy: -4.851 eV per atom



[7]
DFT (GGA-PBEsol) results for an optimized crystal structure of HfMnHg3.

Cell and atoms, written as POSCAR:
```
HfMnHg3
1.0
-4.839 0.251 -0.165
-0.298 -3.676 3.148
0.038 3.152 3.684
Hf Mn Hg
1 1 3
Direct
0.500 0.500 0.500
0.000 0.000 0.000
0.000 0.500 0.000
0.000 0.000 0.500
0.500 0.000 0.000
```

Calculated values
energy of formation: 0.830 eV/atom
space group: Pm-3m, No. 221
energy: -3.563 eV per atom



[8]
DFT (GGA-PBEsol) results for an optimized crystal structure of HfHgMo3.

Cell and atoms, written as POSCAR:
```
HfHgMo3
1.0
4.718 0.000 0.000
0.000 4.718 0.000
0.000 0.000 4.718
Hf Hg Mo
1 1 3
Direct
0.000 0.000 0.000
0.500 0.500 0.500
0.000 0.500 0.000
0.000 0.000 0.500
0.500 0.000 0.000
```

Calculated values
energy of formation: 1.966 eV/atom
space group: Pm-3m, No. 221
energy: -7.309 eV per atom



[9]
DFT (GGA-PBEsol) results for an optimized crystal structure of HfHg2MoO.

Cell and atoms, written as POSCAR:
```
HfHg2MoO
1.0
-1.007 1.957 -3.133
-5.261 -0.100 1.628
0.750 4.733 2.715
Hf Hg O Mo
1 2 1 1
Direct
0.000 0.000 0.000
0.000 0.000 0.500
0.000 0.500 0.000
0.500 0.000 0.000
0.500 0.500 0.500
```

Calculated values
formation energy (no corrections): 1.16 eV per formula unit
space group: P4/mmm, No. 123
energy: -5.499 eV per atom



[10]
DFT (GGA-PBEsol) results for an optimized crystal structure of HfHgMo2Pt.

Cell and atoms, written as POSCAR:
```
HfHgMo2Pt
1.0
-2.487 3.150 2.349
-3.714 -0.975 -2.624
-1.402 -3.578 3.314
Hg Mo Pt Hf
1 2 1 1
Direct
0.000 0.000 0.500
0.500 0.000 0.000
0.000 0.500 0.000
0.500 0.500 0.500
0.000 0.000 0.000
```

Calculated values
energy of formation: 1.999 eV/atom
space group: P4/mmm, No. 123
energy: -6.315 eV per atom



[11]
DFT (GGA-PBEsol) results for an optimized crystal structure of Hf3HgN.

Cell and atoms, written as POSCAR:
```
Hf3HgN
1.0
4.388 0.000 0.000
0.000 4.388 0.000
0.000 0.000 4.388
Hf N Hg
3 1 1
Direct
0.000 0.000 0.500
0.000 0.500 0.000
0.500 0.000 0.000
0.000 0.000 0.000
0.500 0.500 0.500
```

Calculated values
formation energy (no corrections): -4.52 eV per formula unit
space group: Pm-3m, No. 221
energy: -9.025 eV per atom



[12]
DFT (GGA-PBEsol) results for an optimized crystal structure of HfHgSe2N.

Cell and atoms, written as POSCAR:
```
HfHgSe2N
1.0
3.952 0.000 0.000
0.000 5.180 0.000
0.000 0.000 5.180
Se N Hf Hg
2 1 1 1
Direct
0.000 0.500 0.000
0.000 0.000 0.500
0.500 0.000 0.000
0.500 0.500 0.500
0.000 0.000 0.000
```

Calculated values
formation energy (no corrections): 5.25 eV per formula unit
space group: P4/mmm, No. 123
energy: -4.410 eV per atom



[13]
DFT (GGA-PBEsol) results for an optimized crystal structure of HfZrNbHg2.

Cell and atoms, written as POSCAR:
```
HfZrNbHg2
1.0
4.717 0.000 0.000
0.000 5.206 0.000
0.000 0.000 5.206
Hg Hf Zr Nb
2 1 1 1
Direct
0.000 0.500 0.000
0.000 0.000 0.500
0.500 0.000 0.000
0.500 0.500 0.500
0.000 0.000 0.000
```

Calculated values
energy of formation: 1.077 eV/atom
space group: P4/mmm, No. 123
energy: -5.232 eV per atom



[14]
DFT (GGA-PBEsol) results for an optimized crystal structure of HfNi3Hg.

Cell and atoms, written as POSCAR:
```
HfNi3Hg
1.0
-3.913 -2.292 -0.360
2.318 -3.888 -0.452
-0.080 -0.572 4.512
Hg Ni Hf
1 3 1
Direct
0.000 0.000 0.000
0.000 0.500 0.000
0.000 0.000 0.500
0.500 0.000 0.000
0.500 0.500 0.500
```

Calculated values
energy of formation: 1.181 eV/atom
space group: Pm-3m, No. 221
energy: -4.728 eV per atom



[15]
DFT (GGA-PBEsol) results for an optimized crystal structure of HfHg3O.

Cell and atoms, written as POSCAR:
```
HfHg3O
1.0
-2.736 0.091 4.738
-3.984 -3.006 -2.242
2.565 -4.571 1.569
Hg Hf O
3 1 1
Direct
0.500 0.000 0.000
0.000 0.000 0.500
0.000 0.500 0.000
0.000 0.000 0.000
0.500 0.500 0.500
```

Calculated values
formation energy (no corrections): 5.45 eV per formula unit
space group: Pm-3m, No. 221
energy: -2.400 eV per atom



[16]
DFT (GGA-PBEsol) results for an optimized crystal structure of HfTcHgOs2.

Cell and atoms, written as POSCAR:
```
HfTcHgOs2
1.0
-1.664 -2.288 3.610
-2.642 -2.495 -2.799
3.608 -3.323 -0.443
Os Hg Tc Hf
2 1 1 1
Direct
0.500 0.000 0.000
0.000 0.500 0.000
0.000 0.000 0.500
0.000 0.000 0.000
0.500 0.500 0.500
```

Calculated values
energy of formation: 1.574 eV/atom
space group: P4/mmm, No. 123
energy: -7.780 eV per atom



[17]
DFT (GGA-PBEsol) results for an optimized crystal structure of YHf2HgPd.

Cell and atoms, written as POSCAR:
```
YHf2HgPd
1.0
-2.333 -2.356 -3.771
-3.558 -1.564 3.179
-2.781 4.328 -0.983
Hg Hf Y Pd
1 2 1 1
Direct
0.000 0.000 0.500
0.500 0.000 0.000
0.000 0.500 0.000
0.000 0.000 0.000
0.500 0.500 0.500
```

Calculated values
energy of formation: 1.614 eV/atom
space group: P4/mmm, No. 123
energy: -5.257 eV per atom



[18]
DFT (GGA-PBEsol) results for an optimized crystal structure of HfHgPtW2.

Cell and atoms, written as POSCAR:
```
HfHgPtW2
1.0
-2.926 -3.569 1.209
2.141 -0.315 4.252
-3.130 3.180 1.812
Hf W Hg Pt
1 2 1 1
Direct
0.000 0.000 0.000
0.500 0.000 0.000
0.000 0.500 0.000
0.500 0.500 0.500
0.000 0.000 0.500
```

Calculated values
energy of formation: 2.099 eV/atom
space group: P4/mmm, No. 123
energy: -7.031 eV per atom



[19]
DFT (GGA-PBEsol) results for an optimized crystal structure of Hf3ReHg.

Cell and atoms, written as POSCAR:
```
Hf3ReHg
1.0
4.992 0.000 0.000
0.000 4.992 0.000
0.000 0.000 4.992
Hf Re Hg
3 1 1
Direct
0.000 0.000 0.500
0.500 0.000 0.000
0.000 0.500 0.000
0.500 0.500 0.500
0.000 0.000 0.000
```

Calculated values
energy of formation: 1.822 eV/atom
space group: Pm-3m, No. 221
energy: -7.260 eV per atom



[20]
DFT (GGA-PBEsol) results for an optimized crystal structure of HfHg2Rh.

Cell and atoms, written as POSCAR:
```
HfHg2Rh
1.0
-1.324 -0.679 -4.407
3.183 -0.892 -3.273
0.273 -4.245 -1.883
Hg Hf Rh
2 1 1
Direct
0.750 0.750 0.750
0.250 0.250 0.250
0.500 0.500 0.500
0.000 0.000 0.000
```

Calculated values
energy of formation: -0.174 eV/atom
space group: Fm-3m, No. 225
energy: -5.118 eV per atom



[21]
DFT (GGA-PBEsol) results for an optimized crystal structure of HfHg3Rh.

Cell and atoms, written as POSCAR:
```
HfHg3Rh
1.0
4.971 0.000 0.000
0.000 4.971 0.000
0.000 0.000 4.971
Hg Hf Rh
3 1 1
Direct
0.000 0.000 0.500
0.500 0.000 0.000
0.000 0.500 0.000
0.500 0.500 0.500
0.000 0.000 0.000
```

Calculated values
energy of formation: 0.812 eV/atom
space group: Pm-3m, No. 221
energy: -3.256 eV per atom



[22]
DFT (GGA-PBEsol) results for an optimized crystal structure of HfHg2TeRu.

Cell and atoms, written as POSCAR:
```
HfHg2TeRu
1.0
-4.373 1.803 -0.842
-0.435 -2.989 -4.139
-2.078 -3.691 2.884
Te Hf Hg Ru
1 1 2 1
Direct
0.500 0.500 0.500
0.500 0.000 0.000
0.000 0.000 0.500
0.000 0.500 0.000
0.000 0.000 0.000
```

Calculated values
formation energy (no corrections): 2.19 eV per formula unit
space group: P4/mmm, No. 123
energy: -4.628 eV per atom



[23]
DFT (GGA-PBEsol) results for an optimized crystal structure of YHfHg2Ru.

Cell and atoms, written as POSCAR:
```
YHfHg2Ru
1.0
-1.828 -0.340 4.194
-3.124 -3.921 -1.680
3.709 -3.525 1.331
Ru Hf Hg Y
1 1 2 1
Direct
0.500 0.000 0.000
0.500 0.500 0.500
0.000 0.000 0.500
0.000 0.500 0.000
0.000 0.000 0.000
```

Calculated values
energy of formation: 1.263 eV/atom
space group: P4/mmm, No. 123
energy: -4.464 eV per atom



[24]
DFT (GGA-PBEsol) results for an optimized crystal structure of HfScHg3.

Cell and atoms, written as POSCAR:
```
HfScHg3
1.0
-3.527 -2.913 -2.216
2.588 -4.161 1.351
-2.588 -0.191 4.371
Hg Sc Hf
3 1 1
Direct
0.500 0.000 0.000
0.000 0.000 0.500
0.000 0.500 0.000
0.000 0.000 0.000
0.500 0.500 0.500
```

Calculated values
energy of formation: 0.843 eV/atom
space group: Pm-3m, No. 221
energy: -2.919 eV per atom



[25]
DFT (GGA-PBEsol) results for an optimized crystal structure of HfSc2ZnHg.

Cell and atoms, written as POSCAR:
```
HfSc2ZnHg
1.0
-1.810 4.456 -0.848
-1.918 0.076 4.491
4.138 2.011 1.733
Hg Sc Hf Zn
1 2 1 1
Direct
0.500 0.500 0.500
0.500 0.000 0.000
0.000 0.500 0.000
0.000 0.000 0.500
0.000 0.000 0.000
```

Calculated values
energy of formation: 0.339 eV/atom
space group: P4/mmm, No. 123
energy: -4.834 eV per atom



[26]
DFT (GGA-PBEsol) results for an optimized crystal structure of HfHgSe2.

Cell and atoms, written as POSCAR:
```
HfHgSe2
1.0
7.204 0.092 0.131
-3.511 6.292 -0.131
-3.511 -2.229 5.885
Hf Se Hg
2 4 2
Direct
0.000 0.500 0.500
0.500 0.250 0.750
0.904 0.529 0.125
0.096 0.221 0.625
0.404 0.875 0.779
0.596 0.375 0.471
0.500 0.750 0.250
0.000 0.000 0.000
```

Calculated values
formation energy (no corrections): -2.15 eV per formula unit
space group: I-42d, No. 122
energy: -5.229 eV per atom



[27]
DFT (GGA-PBEsol) results for an optimized crystal structure of HfHgSe2.

Cell and atoms, written as POSCAR:
```
HfHgSe2
1.0
3.660 0.000 0.000
1.830 3.169 0.000
1.830 1.056 9.724
Hf Se Hg
1 2 1
Direct
0.500 0.500 0.500
0.112 0.112 0.664
0.888 0.888 0.336
0.000 0.000 0.000
```

Calculated values
formation energy (no corrections): -3.70 eV per formula unit
space group: R-3m, No. 166
energy: -5.618 eV per atom



[28]
DFT (GGA-PBEsol) results for an optimized crystal structure of Sr2HfTlHg.

Cell and atoms, written as POSCAR:
```
Sr2HfTlHg
1.0
5.334 0.000 0.000
0.000 5.961 0.000
0.000 0.000 5.961
Sr Hg Tl Hf
2 1 1 1
Direct
0.000 0.000 0.500
0.000 0.500 0.000
0.000 0.000 0.000
0.500 0.000 0.000
0.500 0.500 0.500
```

Calculated values
energy of formation: 0.718 eV/atom
space group: P4/mmm, No. 123
energy: -2.759 eV per atom



[29]
DFT (GGA-PBEsol) results for an optimized crystal structure of HfTaHg2W.

Cell and atoms, written as POSCAR:
```
HfTaHg2W
1.0
-1.162 -0.046 4.651
1.853 -4.702 0.417
4.558 1.899 1.157
Hf Hg W Ta
1 2 1 1
Direct
0.500 0.000 0.000
0.000 0.000 0.500
0.000 0.500 0.000
0.000 0.000 0.000
0.500 0.500 0.500
```

Calculated values
energy of formation: 1.829 eV/atom
space group: P4/mmm, No. 123
energy: -5.770 eV per atom



| no. | calculated volume (Å³/atom) |
| --- | --- |
| 1 | 21.4 |
| 2 | 20.4 |
| 3 | 18.8 |
| 4 | 23.8 |
| 5 | 22.0 |
| 6 | 20.1 |
| 7 | 22.8 |
| 8 | 21.0 |
| 9 | 23.2 |
| 10 | 21.9 |
| 11 | 16.9 |
| 12 | 21.2 |
| 13 | 25.6 |
| 14 | 18.8 |
| 15 | 32.8 |
| 16 | 20.7 |
| 17 | 26.4 |
| 18 | 21.9 |
| 19 | 24.9 |
| 20 | 17.8 |
| 21 | 24.6 |
| 22 | 25.2 |
| 23 | 25.6 |
| 24 | 26.3 |
| 25 | 23.5 |
| 26 | 33.8 |
| 27 | 28.2 |
| 28 | 37.9 |
| 29 | 24.7 |